# CeUTc2 (PBE, optimized geometry)
data_CeUTc2
_chemical_formula_sum 'Ce1 U1 Tc2'
_symmetry_space_group_name_H-M 'P 1'
_symmetry_Int_Tables_number 1
_cell_length_a 6.9339
_cell_length_b 6.9339
_cell_length_c 6.9339
_cell_angle_alpha 31.92
_cell_angle_beta 31.92
_cell_angle_gamma 31.92
loop_
_symmetry_equiv_pos_as_xyz
'x,y,z'
loop_
_atom_site_label
_atom_site_type_symbol
_atom_site_fract_x
_atom_site_fract_y
_atom_site_fract_z
_atom_site_occupancy
Ce1 Ce 0.0000 0.0000 0.0000 1
U1 U 0.5000 0.5000 0.5000 1
Tc1 Tc 0.2460 0.2460 0.2460 1
Tc2 Tc 0.7540 0.7540 0.7540 1
# - Energy: -9.2364 eV/atom
# - Magnetic moment: 0.0 μB per cell
# - Density: 11.5 g cm⁻³
# - Distance to the lowest polymorph of the same formula: 0.440 eV per atom

***

# Ce5U2Tc4 (PBE, optimized geometry)
data_Ce5U2Tc4
_chemical_formula_sum 'Ce5 U2 Tc4'
_symmetry_space_group_name_H-M 'P 1'
_symmetry_Int_Tables_number 1
_cell_length_a 7.7989
_cell_length_b 3.1207
_cell_length_c 9.5518
_cell_angle_alpha 90.00
_cell_angle_beta 96.28
_cell_angle_gamma 90.00
loop_
_symmetry_equiv_pos_as_xyz
'x,y,z'
loop_
_atom_site_label
_atom_site_type_symbol
_atom_site_fract_x
_atom_site_fract_y
_atom_site_fract_z
_atom_site_occupancy
Ce1 Ce 0.0000 0.0000 0.0000 1
Ce2 Ce 0.0380 0.0000 0.3545 1
Ce3 Ce 0.3937 0.0000 0.8656 1
Ce4 Ce 0.6063 0.0000 0.1344 1
Ce5 Ce 0.9620 0.0000 0.6455 1
U1 U 0.4041 0.0000 0.3694 1
U2 U 0.5959 0.0000 0.6306 1
Tc1 Tc 0.2527 0.5000 0.1323 1
Tc2 Tc 0.2794 0.5000 0.5898 1
Tc3 Tc 0.7206 0.5000 0.4102 1
Tc4 Tc 0.7473 0.5000 0.8677 1
# - Energy: -8.5394 eV/atom
# - Magnetic moment: 0.0 μB per cell
# - Density: 11.3 g cm⁻³

***

# CeUTc2 (PBE, optimized geometry)
data_CeUTc2
_chemical_formula_sum 'Ce3 U3 Tc6'
_symmetry_space_group_name_H-M 'P 1'
_symmetry_Int_Tables_number 1
_cell_length_a 8.7566
_cell_length_b 8.7566
_cell_length_c 8.7566
_cell_angle_alpha 39.45
_cell_angle_beta 39.45
_cell_angle_gamma 39.45
loop_
_symmetry_equiv_pos_as_xyz
'x,y,z'
loop_
_atom_site_label
_atom_site_type_symbol
_atom_site_fract_x
_atom_site_fract_y
_atom_site_fract_z
_atom_site_occupancy
Ce1 Ce 0.0000 0.0000 0.0000 1
Ce2 Ce 0.1406 0.1406 0.1406 1
Ce3 Ce 0.8594 0.8594 0.8594 1
U1 U 0.3331 0.3331 0.3331 1
U2 U 0.5000 0.5000 0.5000 1
U3 U 0.6669 0.6669 0.6669 1
Tc1 Tc 0.0843 0.5810 0.5810 1
Tc2 Tc 0.4190 0.4190 0.9157 1
Tc3 Tc 0.4190 0.9157 0.4190 1
Tc4 Tc 0.5810 0.0843 0.5810 1
Tc5 Tc 0.5810 0.5810 0.0843 1
Tc6 Tc 0.9157 0.4190 0.4190 1
# - Energy: -9.6765 eV/atom
# - Magnetic moment: 1.0 μB per cell
# - Density: 11.7 g cm⁻³
# - Distance to the lowest polymorph of the same formula: 0.000 eV per atom

***

# CeU2Tc3 (PBE, optimized geometry)
data_CeU2Tc3
_chemical_formula_sum 'Ce1 U2 Tc3'
_symmetry_space_group_name_H-M 'P 1'
_symmetry_Int_Tables_number 1
_cell_length_a 5.9680
_cell_length_b 5.9680
_cell_length_c 4.0621
_cell_angle_alpha 90.00
_cell_angle_beta 90.00
_cell_angle_gamma 120.00
loop_
_symmetry_equiv_pos_as_xyz
'x,y,z'
loop_
_atom_site_label
_atom_site_type_symbol
_atom_site_fract_x
_atom_site_fract_y
_atom_site_fract_z
_atom_site_occupancy
Ce1 Ce 0.0000 0.0000 0.0000 1
U1 U 0.3333 0.6667 0.0000 1
U2 U 0.6667 0.3333 0.0000 1
Tc1 Tc 0.0000 0.5000 0.5000 1
Tc2 Tc 0.5000 0.0000 0.5000 1
Tc3 Tc 0.5000 0.5000 0.5000 1
# - Energy: -10.0137 eV/atom
# - Magnetic moment: 1.0 μB per cell
# - Density: 12.1 g cm⁻³